SrMg2TlRh | Alexandria via LeMat-Bulk | PBE-GGA | relaxed; ΔE_f = -0.13 eV/atom; electronic total energy = -15.24 eV per cell; calculated volume = 144 Å³/cell; polymorph energy (0 for the lowest one) = 120 meV/atom
1.0
5.054 0.000 0.000
0.000 5.054 0.000
0.000 0.000 5.639
Sr Tl Rh Mg
1 1 1 2
Cartesian
0.000 0.000 2.819
2.527 2.527 2.819
0.000 0.000 0.000
0.000 2.527 0.000
2.527 0.000 0.000

Sr2Mg6TlRh | Alexandria via LeMat-Bulk | PBE-GGA | relaxed; ΔE_f = -0.15 eV/atom; electronic total energy = -24.11 eV per cell; calculated volume = 288 Å³/cell
1.0
-3.812 6.598 0.582
-4.914 -3.215 4.175
-1.333 2.491 6.591
Sr Mg Tl Rh
2 6 1 1
Cartesian
-4.725 -0.012 6.880
-5.334 5.885 4.468
-6.518 1.911 9.677
-6.250 2.189 3.968
-3.210 2.571 4.430
-3.542 3.963 1.670
-3.810 3.685 7.380
-6.849 3.303 6.918
0.000 0.000 0.000
-4.363 1.691 2.378

SrMg2TlRh | Alexandria via LeMat-Bulk | PBE-GGA | relaxed; ΔE_f = -0.25 eV/atom; electronic total energy = -15.84 eV per cell; calculated volume = 135 Å³/cell; polymorph energy (0 for the lowest one) = 0 meV/atom
1.0
-3.335 -3.777 0.327
3.769 -3.257 0.821
-0.423 0.825 5.212
Sr Tl Rh Mg
1 1 1 2
Cartesian
0.006 -3.105 3.180
-0.212 0.412 2.606
0.000 0.000 0.000
1.885 -1.629 0.411
-1.667 -1.888 0.163

Sr2MgRhW | Alexandria via LeMat-Bulk | PBE-GGA | relaxed; ΔE_f = 0.85 eV/atom; electronic total energy = -21.03 eV per cell; calculated volume = 166 Å³/cell
1.0
-5.895 0.697 -0.276
0.095 -1.014 -4.581
-0.740 -5.760 1.259
Sr Mg Rh W
2 1 1 1
Cartesian
-0.370 -2.880 0.630
-2.948 0.348 -0.138
-3.270 -3.039 -1.799
0.048 -0.507 -2.290
0.000 0.000 0.000

SrYMg2Rh | Alexandria via LeMat-Bulk | PBE-GGA | relaxed; ΔE_f = -0.28 eV/atom; electronic total energy = -20.06 eV per cell; calculated volume = 143 Å³/cell
1.0
-3.718 -2.673 2.580
-1.838 -1.849 -4.564
3.191 -4.081 0.369
Y Sr Mg Rh
1 1 2 1
Cartesian
1.595 -2.041 0.184
-1.182 -4.302 -0.807
-0.919 -0.925 -2.282
-1.859 -1.337 1.290
0.000 0.000 0.000

Sr2Mg3Zn12Rh | Alexandria via LeMat-Bulk | PBE-GGA | relaxed; ΔE_f = -0.06 eV/atom; electronic total energy = -31.82 eV per cell; calculated volume = 374 Å³/cell
1.0
10.906 2.689 1.907
7.724 8.155 1.907
7.724 4.496 7.066
Sr Mg Zn Rh
2 3 12 1
Cartesian
17.078 9.941 7.051
9.277 5.400 3.830
5.453 1.345 0.954
3.862 4.077 0.954
3.862 2.248 3.533
14.265 8.304 7.494
19.817 11.535 5.989
18.018 12.557 8.907
15.582 7.556 5.359
19.817 9.466 8.907
14.265 9.817 5.359
12.089 7.037 3.387
6.537 3.805 4.892
8.337 2.783 1.974
10.773 7.784 5.521
6.537 5.875 1.974
12.089 5.523 5.521
0.000 0.000 0.000

SrMg2ZnRh | Alexandria via LeMat-Bulk | PBE-GGA | relaxed; ΔE_f = -0.26 eV/atom; electronic total energy = -14.81 eV per cell; calculated volume = 124 Å³/cell
1.0
-1.268 -1.900 -4.432
0.076 -4.590 1.946
-4.824 0.427 1.197
Sr Zn Rh Mg
1 1 1 2
Cartesian
-3.008 -3.031 -0.645
-2.412 0.214 0.598
0.000 0.000 0.000
0.038 -2.295 0.973
-0.634 -0.950 -2.216

Sr2MgZnRh | Alexandria via LeMat-Bulk | PBE-GGA | relaxed; ΔE_f = -0.08 eV/atom; electronic total energy = -13.99 eV per cell; calculated volume = 164 Å³/cell; polymorph energy (0 for the lowest one) = 0 meV/atom
1.0
5.800 0.000 0.000
0.000 5.800 0.000
0.000 0.000 4.868
Sr Zn Rh Mg
2 1 1 1
Cartesian
0.000 2.900 0.000
2.900 0.000 0.000
0.000 0.000 2.434
0.000 0.000 0.000
2.900 2.900 2.434

Sr2MgZnRh | Alexandria via LeMat-Bulk | PBE-GGA | relaxed; ΔE_f = -0.08 eV/atom; electronic total energy = -13.98 eV per cell; calculated volume = 166 Å³/cell; polymorph energy (0 for the lowest one) = 3 meV/atom
1.0
-0.975 3.085 -4.780
-5.521 -1.683 0.040
-1.185 3.953 2.794
Sr Zn Rh Mg
2 1 1 1
Cartesian
-2.760 -0.842 0.020
-0.488 1.543 -2.390
-3.841 2.678 -0.973
0.000 0.000 0.000
-0.593 1.977 1.397

Sr2Mg6ZnRh | Alexandria via LeMat-Bulk | PBE-GGA | relaxed; ΔE_f = -0.12 eV/atom; electronic total energy = -22.79 eV per cell; calculated volume = 272 Å³/cell
1.0
7.282 -0.006 -0.016
-0.005 7.282 -0.016
3.627 3.627 5.114
Sr Mg Zn Rh
2 6 1 1
Cartesian
3.630 7.274 2.541
7.274 3.629 2.541
1.856 5.421 -0.016
5.418 5.418 -0.020
3.633 3.633 2.494
5.421 1.856 -0.016
5.486 5.485 5.102
7.271 7.270 2.588
0.000 0.000 0.000
3.639 3.638 -0.016

MgTaRh2 | Alexandria via LeMat-Bulk | PBE-GGA | relaxed; ΔE_f = -0.32 eV/atom; electronic total energy = -29.45 eV per cell; calculated volume = 64 Å³/cell
1.0
-4.397 -4.753 -6.009
-1.796 -4.577 -7.339
-2.279 -6.658 -5.339
Mg Rh Ta
1 2 1
Cartesian
-2.118 -3.997 -4.672
-0.012 -0.023 -0.027
-4.223 -7.971 -9.316
-6.354 -11.991 -14.015

MgTaRh | Alexandria via LeMat-Bulk | PBE-GGA | relaxed; ΔE_f = -0.16 eV/atom; electronic total energy = -21.28 eV per cell; calculated volume = 50 Å³/cell; polymorph energy (0 for the lowest one) = 61 meV/atom
1.0
4.483 0.000 0.000
-2.242 3.882 0.000
0.000 0.000 2.865
Mg Rh Ta
1 1 1
Cartesian
0.000 0.000 0.108
2.242 1.294 1.029
0.000 2.588 1.727

MgTaRh2 | Alexandria via LeMat-Bulk | PBE-GGA | relaxed; ΔE_f = -0.43 eV/atom; electronic total energy = -29.88 eV per cell; calculated volume = 63 Å³/cell
1.0
-1.027 -3.484 -3.831
-3.216 -4.068 0.993
0.334 5.268 0.123
Mg Rh Ta
1 2 1
Cartesian
-2.494 -1.275 -0.147
-0.008 -0.015 -0.005
-1.359 -0.910 -2.532
-2.169 -3.862 -1.451

Mg2TaRh | Alexandria via LeMat-Bulk | PBE-GGA | relaxed; ΔE_f = -0.04 eV/atom; electronic total energy = -22.55 eV per cell; calculated volume = 70 Å³/cell; polymorph energy (0 for the lowest one) = 180 meV/atom
1.0
5.459 -0.003 0.027
4.647 2.865 0.027
1.607 0.455 4.460
Mg Rh Ta
2 1 1
Cartesian
1.816 0.514 4.376
5.647 1.599 2.342
8.785 2.487 3.386
2.928 0.829 1.129

Mg2TaRh | Alexandria via LeMat-Bulk | PBE-GGA | relaxed; ΔE_f = -0.09 eV/atom; electronic total energy = -22.74 eV per cell; calculated volume = 73 Å³/cell; polymorph energy (0 for the lowest one) = 132 meV/atom
1.0
9.713 0.041 0.024
9.248 2.968 0.024
9.248 1.467 2.580
Mg Rh Ta
2 1 1
Cartesian
0.086 0.014 0.008
6.782 1.076 0.632
14.049 2.229 1.309
21.397 3.395 1.993

MgTa2Rh | Alexandria via LeMat-Bulk | PBE-GGA | relaxed; ΔE_f = 0.08 eV/atom; electronic total energy = -32.34 eV per cell; calculated volume = 68 Å³/cell
1.0
-3.193 -2.086 3.552
-1.010 -5.076 -0.610
4.292 2.953 0.130
Mg Rh Ta
1 1 2
Cartesian
-2.102 -3.581 1.471
-0.501 -1.357 2.576
0.000 0.000 0.000
0.590 -2.852 0.495

Mg2TaRh4 | Alexandria via LeMat-Bulk | PBE-GGA | relaxed; ΔE_f = -0.35 eV/atom; electronic total energy = -46.87 eV per cell; calculated volume = 115 Å³/cell
1.0
-2.267 -3.585 -0.653
3.571 -2.032 -1.241
0.404 1.069 6.830
Mg Ta Rh
2 1 4
Cartesian
1.165 -3.654 1.913
0.542 -0.893 3.022
0.000 0.000 0.000
2.592 -2.346 3.877
-0.327 -3.122 4.171
-0.885 -2.202 1.058
2.034 -1.425 0.764

Mg3TaRh | Alexandria via LeMat-Bulk | PBE-GGA | relaxed; ΔE_f = 1.78 eV/atom; electronic total energy = -15.08 eV per cell; calculated volume = 143 Å³/cell; polymorph energy (0 for the lowest one) = 1061 meV/atom
1.0
-2.467 -2.972 3.523
2.298 -4.257 -1.982
3.995 0.614 3.315
Mg Rh Ta
3 1 1
Cartesian
1.149 -2.128 -0.991
1.998 0.307 1.658
-1.233 -1.486 1.761
1.913 -3.308 2.428
0.000 0.000 0.000

MgTa2Rh | Alexandria via LeMat-Bulk | PBE-GGA | relaxed; ΔE_f = -0.04 eV/atom; electronic total energy = -32.81 eV per cell; calculated volume = 68 Å³/cell
1.0
4.572 0.000 0.000
0.000 2.841 0.029
0.000 1.255 5.249
Mg Rh Ta
1 1 2
Cartesian
2.286 1.024 1.319
2.286 3.072 3.958
0.000 4.075 5.239
0.000 2.070 2.677

Mg5TaRh6 | Alexandria via LeMat-Bulk | PBE-GGA | relaxed; ΔE_f = -0.61 eV/atom; electronic total energy = -71.26 eV per cell; calculated volume = 183 Å³/cell
1.0
4.197 -0.025 1.399
0.034 6.272 0.011
0.008 -0.013 6.973
Mg Rh Ta
5 6 1
Cartesian
2.822 3.111 5.580
1.384 -0.013 2.842
0.017 3.136 0.006
2.820 -0.025 5.529
1.416 3.124 2.803
3.544 4.701 3.441
3.527 1.522 3.435
2.107 1.510 0.702
2.124 4.738 0.708
0.711 4.713 4.948
0.694 1.534 4.942
0.000 0.000 0.000